No. 1
Here is a relaxed Hf4Sb3H2 crystal from the Alexandria database. Energies are from GGA-PBE.

Structure (POSCAR):
```
Hf4Sb3H2
1.0
6.5613 -4.3651 0.0000
6.5613 4.3651 0.0000
-1.2614 0.0000 5.7213
Hf Sb H
8 6 4
Cartesian
3.9727 2.3048 5.3715
3.3862 0.5566 2.1683
7.2577 2.3048 3.2105
2.7555 -0.5566 5.0290
9.1057 0.5566 0.6923
4.6034 -2.3048 2.5109
8.4750 -0.5566 3.5530
7.8884 -2.3048 0.3498
4.5756 3.2718 2.4619
7.9163 3.2718 0.3988
5.6152 0.0292 4.2910
6.2459 -0.0292 1.4303
3.9449 -3.2718 5.3226
7.2856 -3.2718 3.2595
3.4797 1.2170 0.2669
2.8490 -1.2170 3.1276
9.0122 1.2170 2.5938
8.3815 -1.2170 5.4544
```


No. 2
Pr3Mg2Tl, optimized geometry, DFT GGA-PBE; offset from the most stable computed form = 0 meV/atom; energy of formation from the pure elements = -1.27 eV/f.u.
1.0
2.7542 -8.3234 0.0000
2.7542 8.3234 0.0000
0.0000 0.0000 3.9392
Pr Mg Tl
3 2 1
Cartesian
0.0000 0.0000 0.0000
2.7542 2.7701 0.0000
2.7542 -2.7701 0.0000
2.7542 5.4725 1.9696
2.7542 -5.4725 1.9696
2.7542 0.0000 1.9696


DFT total energy? In order: -6.880, -3.527 eV/atom.
Fermi-level density of states? In order: 4.36, 6.92 states/eV/f.u..